The following is a GGA-PBEsol calculation of a geometry-optimized BaB2Ir2 structure, from Alexandria via LeMat-Bulk.

Cell: 3.919 3.919 6.313 Å, 108.08 108.08 90.00°
Positions (direct):
B  0.320  0.320  0.640
B  0.680  0.680  0.360
Ba  0.000  0.000  0.000
Ir  0.750  0.250  0.500
Ir  0.250  0.750  0.500

Crystal system: tetragonal
Magnetic moment in μB/cell: 0.0
E_form in eV/atom: -0.4852